# 1
## AcTb2Tl2Ag2 (GGA-PBE)

Data for AcTb2Tl2Ag2 after structural relaxation.

E_tot: -3.630 eV per atom
DFT formation energy: -0.2297 eV per atom
Spin magnetization: 0.00 μB per formula unit

Unit cell a=9.582 b=9.582 c=9.582 alpha=30.10 beta=30.10 gamma=30.10
Fractional coordinates of all 7 atoms:
Ac (0.000, 0.000, 0.000)
Tb (0.135, 0.135, 0.135)
Tb (0.865, 0.865, 0.865)
Tl (0.258, 0.258, 0.258)
Tl (0.742, 0.742, 0.742)
Ag (0.441, 0.441, 0.441)
Ag (0.559, 0.559, 0.559)

=====

# 2
## K2InGeCl5 (GGA-PBE)

Data for K2InGeCl5 after structural relaxation.

E_tot: -3.375 eV per atom
Spin magnetization: 0.00 μB per formula unit
Uncorrected formation energy: -1.2883 eV/atom

Unit cell a=9.200 b=9.200 c=16.130 alpha=90.00 beta=90.00 gamma=153.80
Fractional coordinates of all 18 atoms:
K (0.050, 0.950, 0.500)
K (0.158, 0.842, 0.092)
K (0.842, 0.158, 0.592)
K (0.950, 0.050, 0.000)
In (0.433, 0.567, 0.275)
In (0.567, 0.433, 0.775)
Ge (0.268, 0.732, 0.875)
Ge (0.732, 0.268, 0.375)
Cl (0.101, 0.899, 0.899)
Cl (0.228, 0.772, 0.495)
Cl (0.246, 0.754, 0.267)
Cl (0.403, 0.597, 0.861)
Cl (0.469, 0.531, 0.607)
Cl (0.531, 0.469, 0.107)
Cl (0.597, 0.403, 0.361)
Cl (0.754, 0.246, 0.767)
Cl (0.772, 0.228, 0.995)
Cl (0.899, 0.101, 0.399)

=====

- The highest E_tot belongs to which entry?
  K2InGeCl5

=====

- Among the records above, which one has the highest E_tot?
  K2InGeCl5

=====

- The highest E_tot belongs to which entry?
  K2InGeCl5

=====

- Look up the spin magnetization of the first one.
  0.00 μB per formula unit